#i
# TbTh2Sc6 | the Alexandria database | PBE | relaxed
data_TbTh2Sc6
_chemical_formula_sum 'Tb1 Th2 Sc6'
_cell_length_a 3.3880
_cell_length_b 3.3880
_cell_length_c 24.6822
_cell_angle_alpha 90.00
_cell_angle_beta 90.00
_cell_angle_gamma 120.00
_space_group_name_H-M_alt 'P -6 m 2'
_space_group_IT_number 187
_space_group_name_Hall 'P -6 2'
loop_
_atom_site_label
_atom_site_type_symbol
_atom_site_fract_x
_atom_site_fract_y
_atom_site_fract_z
Tb1 Tb 0.0000 0.0000 0.0000
Th1 Th 0.3333 0.6667 0.3289
Sc1 Sc 0.0000 0.0000 0.2136
Sc2 Sc 0.0000 0.0000 0.4394
Sc3 Sc 0.3333 0.6667 0.1116
# M_tot ... 0.000 μB per atom

***

#ii
# TbTh2Sc6 | the Alexandria database | PBE | relaxed
data_TbTh2Sc6
_chemical_formula_sum 'Tb1 Th2 Sc6'
_cell_length_a 9.1902
_cell_length_b 9.1902
_cell_length_c 3.3260
_cell_angle_alpha 90.00
_cell_angle_beta 90.00
_cell_angle_gamma 120.00
_space_group_name_H-M_alt 'P 6/m m m'
_space_group_IT_number 191
_space_group_name_Hall '-P 6 2'
loop_
_atom_site_label
_atom_site_type_symbol
_atom_site_fract_x
_atom_site_fract_y
_atom_site_fract_z
Tb1 Tb 0.0000 0.0000 0.0000
Th1 Th 0.3333 0.6667 0.0000
Sc1 Sc 0.0000 0.3339 0.5000
# M_tot ... 0.000 μB per atom

***

It is #ii that is most stable; the runner-up trails by 64 meV per atom.

***

#i
# Tb3ThSc4 | the Alexandria database | PBE | relaxed
data_Tb3ThSc4
_chemical_formula_sum 'Tb6 Th2 Sc8'
_cell_length_a 11.4844
_cell_length_b 12.5026
_cell_length_c 3.3108
_cell_angle_alpha 90.00
_cell_angle_beta 106.31
_cell_angle_gamma 90.00
_space_group_name_H-M_alt 'C 1 2/m 1'
_space_group_IT_number 12
loop_
_space_group_symop_operation_xyz
'x,y,z'
'-x,-y,-z'
'-x,y,-z'
'x,-y,z'
'x+1/2,y+1/2,z'
'-x+1/2,-y+1/2,-z'
'-x+1/2,y+1/2,-z'
'x+1/2,-y+1/2,z'
loop_
_atom_site_label
_atom_site_type_symbol
_atom_site_fract_x
_atom_site_fract_y
_atom_site_fract_z
Tb1 Tb 0.0000 0.0000 0.0000
Tb2 Tb 0.0000 0.2442 0.5000
Th1 Th 0.0000 0.5000 0.0000
Sc1 Sc 0.2501 0.1347 0.2512
# M_tot ... 0.000 μB per atom

***

#ii
# Tb3ThSc4 | the Alexandria database | PBE | relaxed
data_Tb3ThSc4
_chemical_formula_sum 'Tb6 Th2 Sc8'
_cell_length_a 10.9421
_cell_length_b 6.9215
_cell_length_c 5.9914
_cell_angle_alpha 90.00
_cell_angle_beta 90.00
_cell_angle_gamma 90.00
_space_group_name_H-M_alt 'P m n 21'
_space_group_IT_number 31
loop_
_space_group_symop_operation_xyz
'x,y,z'
'-x+1/2,-y,z+1/2'
'-x,y,z'
'x+1/2,-y,z+1/2'
loop_
_atom_site_label
_atom_site_type_symbol
_atom_site_fract_x
_atom_site_fract_y
_atom_site_fract_z
Tb1 Tb 0.0000 0.1309 0.0000
Tb2 Tb 0.2482 0.1332 0.3488
Th1 Th 0.0000 0.8630 0.5065
Sc1 Sc 0.0000 0.3859 0.5110
Sc2 Sc 0.0000 0.6177 0.0166
Sc3 Sc 0.2501 0.3821 0.8448
# M_tot ... 0.001 μB per atom

***

It is #ii that is most stable; the runner-up trails by 116 meV per atom.

***

#i
# Tb8Th2Sc | the Alexandria database | PBE | relaxed
data_Tb8Th2Sc
_chemical_formula_sum 'Tb16 Th4 Sc2'
_cell_length_a 8.7804
_cell_length_b 15.8281
_cell_length_c 5.9159
_cell_angle_alpha 90.00
_cell_angle_beta 121.15
_cell_angle_gamma 90.00
_space_group_name_H-M_alt 'C 1 2/m 1'
_space_group_IT_number 12
loop_
_space_group_symop_operation_xyz
'x,y,z'
'-x,-y,-z'
'-x,y,-z'
'x,-y,z'
'x+1/2,y+1/2,z'
'-x+1/2,-y+1/2,-z'
'-x+1/2,y+1/2,-z'
'x+1/2,-y+1/2,z'
loop_
_atom_site_label
_atom_site_type_symbol
_atom_site_fract_x
_atom_site_fract_y
_atom_site_fract_z
Tb1 Tb 0.0000 0.2074 0.0000
Tb2 Tb 0.0921 0.5000 0.7964
Tb3 Tb 0.2151 0.1123 0.6646
Th1 Th 0.0000 0.3036 0.5000
Sc1 Sc 0.0000 0.0000 0.0000
# M_tot ... 0.000 μB per atom

***

#ii
# Tb8Th2Sc | the Alexandria database | PBE | relaxed
data_Tb8Th2Sc
_chemical_formula_sum 'Tb16 Th4 Sc2'
_cell_length_a 18.6915
_cell_length_b 6.9373
_cell_length_c 5.6406
_cell_angle_alpha 90.00
_cell_angle_beta 91.89
_cell_angle_gamma 90.00
_space_group_name_H-M_alt 'C 1 2/m 1'
_space_group_IT_number 12
loop_
_space_group_symop_operation_xyz
'x,y,z'
'-x,-y,-z'
'-x,y,-z'
'x,-y,z'
'x+1/2,y+1/2,z'
'-x+1/2,-y+1/2,-z'
'-x+1/2,y+1/2,-z'
'x+1/2,-y+1/2,z'
loop_
_atom_site_label
_atom_site_type_symbol
_atom_site_fract_x
_atom_site_fract_y
_atom_site_fract_z
Tb1 Tb 0.0474 0.0000 0.2345
Tb2 Tb 0.1282 0.2322 0.7416
Tb3 Tb 0.1778 0.5000 0.2301
Th1 Th 0.2202 0.0000 0.2689
Sc1 Sc 0.0000 0.5000 0.0000
# M_tot ... 0.000 μB per atom

***

It is #i that is most stable; the runner-up trails by 11 meV per atom.

***

#i
# Tb2ThSc5 | the Alexandria database | PBE | relaxed
data_Tb2ThSc5
_chemical_formula_sum 'Tb4 Th2 Sc10'
_cell_length_a 6.6851
_cell_length_b 13.4046
_cell_length_c 4.8457
_cell_angle_alpha 90.00
_cell_angle_beta 90.00
_cell_angle_gamma 90.00
_space_group_name_H-M_alt 'P b a m'
_space_group_IT_number 55
loop_
_space_group_symop_operation_xyz
'x,y,z'
'-x,-y,-z'
'-x,-y,z'
'x,y,-z'
'x+1/2,-y+1/2,-z'
'-x+1/2,y+1/2,z'
'-x+1/2,y+1/2,-z'
'x+1/2,-y+1/2,z'
loop_
_atom_site_label
_atom_site_type_symbol
_atom_site_fract_x
_atom_site_fract_y
_atom_site_fract_z
Tb1 Tb 0.2402 0.1272 0.0000
Th1 Th 0.0000 0.5000 0.5000
Sc1 Sc 0.0000 0.0000 0.5000
Sc2 Sc 0.0140 0.7501 0.5000
Sc3 Sc 0.2371 0.3764 0.0000
# M_tot ... 0.000 μB per atom

***

#ii
# Tb2ThSc5 | the Alexandria database | PBE | relaxed
data_Tb2ThSc5
_chemical_formula_sum 'Tb8 Th4 Sc20'
_cell_length_a 6.8335
_cell_length_b 10.8289
_cell_length_c 11.8215
_cell_angle_alpha 90.00
_cell_angle_beta 90.00
_cell_angle_gamma 90.00
_space_group_name_H-M_alt 'F m m 2'
_space_group_IT_number 42
_space_group_name_Hall 'F 2 -2'
loop_
_atom_site_label
_atom_site_type_symbol
_atom_site_fract_x
_atom_site_fract_y
_atom_site_fract_z
Tb1 Tb 0.0000 0.2454 0.0000
Th1 Th 0.0000 0.0000 0.6689
Sc1 Sc 0.0000 0.0000 0.1722
Sc2 Sc 0.2467 0.0000 0.4145
Sc3 Sc 0.2500 0.2500 0.2511
# M_tot ... 0.000 μB per atom

***

It is #ii that is most stable; the runner-up trails by 19 meV per atom.

***

#i
# Tb2Th2Sc5 | the Alexandria database | PBE | relaxed
data_Tb2Th2Sc5
_chemical_formula_sum 'Tb2 Th2 Sc5'
_cell_length_a 3.3330
_cell_length_b 7.6371
_cell_length_c 10.5673
_cell_angle_alpha 82.82
_cell_angle_beta 80.95
_cell_angle_gamma 89.77
_space_group_name_H-M_alt 'P -1'
_space_group_IT_number 2
loop_
_space_group_symop_operation_xyz
'x,y,z'
'-x,-y,-z'
loop_
_atom_site_label
_atom_site_type_symbol
_atom_site_fract_x
_atom_site_fract_y
_atom_site_fract_z
Tb1 Tb 0.1855 0.1389 0.1291
Th1 Th 0.4481 0.6536 0.6062
Sc1 Sc 0.0000 0.0000 0.5000
Sc2 Sc 0.0913 0.7343 0.3086
Sc3 Sc 0.3097 0.4629 0.8842
# M_tot ... 0.000 μB per atom

***

#ii
# Tb2Th2Sc5 | the Alexandria database | PBE | relaxed
data_Tb2Th2Sc5
_chemical_formula_sum 'Tb8 Th8 Sc20'
_cell_length_a 13.6435
_cell_length_b 9.0221
_cell_length_c 8.4732
_cell_angle_alpha 90.00
_cell_angle_beta 90.00
_cell_angle_gamma 90.00
_space_group_name_H-M_alt 'I m a 2'
_space_group_IT_number 46
loop_
_space_group_symop_operation_xyz
'x,y,z'
'-x,-y,z'
'-x+1/2,y,z'
'x+1/2,-y,z'
'x+1/2,y+1/2,z+1/2'
'-x+1/2,-y+1/2,z+1/2'
'-x,y+1/2,z+1/2'
'x,-y+1/2,z+1/2'
loop_
_atom_site_label
_atom_site_type_symbol
_atom_site_fract_x
_atom_site_fract_y
_atom_site_fract_z
Tb1 Tb 0.1229 0.0672 0.0000
Th1 Th 0.0000 0.0000 0.6760
Th2 Th 0.2500 0.0020 0.3296
Sc1 Sc 0.0224 0.1660 0.3284
Sc2 Sc 0.1450 0.7287 0.0884
Sc3 Sc 0.2500 0.1532 0.6706
# M_tot ... 0.000 μB per atom

***

It is #i that is most stable; the runner-up trails by 67 meV per atom.

***

#i
# Tb2Sc3Tl4 | the Alexandria database | PBE | relaxed
data_Tb2Sc3Tl4
_chemical_formula_sum 'Tb4 Sc6 Tl8'
_cell_length_a 8.7950
_cell_length_b 5.0820
_cell_length_c 10.3481
_cell_angle_alpha 90.00
_cell_angle_beta 90.07
_cell_angle_gamma 90.00
_space_group_name_H-M_alt 'C 1 2/m 1'
_space_group_IT_number 12
loop_
_space_group_symop_operation_xyz
'x,y,z'
'-x,-y,-z'
'-x,y,-z'
'x,-y,z'
'x+1/2,y+1/2,z'
'-x+1/2,-y+1/2,-z'
'-x+1/2,y+1/2,-z'
'x+1/2,-y+1/2,z'
loop_
_atom_site_label
_atom_site_type_symbol
_atom_site_fract_x
_atom_site_fract_y
_atom_site_fract_z
Tb1 Tb 0.1670 0.0000 0.2754
Sc1 Sc 0.0000 0.5000 0.5000
Sc2 Sc 0.1665 0.0000 0.9335
Tl1 Tl 0.0002 0.5000 0.1506
Tl2 Tl 0.1664 0.0000 0.6034
# M_tot ... 0.000 μB per atom

***

#ii
# Tb2Sc3Tl4 | the Alexandria database | PBE | relaxed
data_Tb2Sc3Tl4
_chemical_formula_sum 'Tb8 Sc12 Tl16'
_cell_length_a 6.7807
_cell_length_b 16.0997
_cell_length_c 8.7383
_cell_angle_alpha 90.00
_cell_angle_beta 90.00
_cell_angle_gamma 90.00
_space_group_name_H-M_alt 'C m c e'
_space_group_IT_number 64
_space_group_name_Hall '-C 2ac 2'
loop_
_atom_site_label
_atom_site_type_symbol
_atom_site_fract_x
_atom_site_fract_y
_atom_site_fract_z
Tb1 Tb 0.0000 0.1130 0.0787
Sc1 Sc 0.0000 0.0000 0.5000
Sc2 Sc 0.2500 0.2132 0.7500
Tl1 Tl 0.0000 0.1853 0.4542
Tl2 Tl 0.2500 0.0333 0.7500
# M_tot ... 0.000 μB per atom

***

It is #i that is most stable; the runner-up trails by 48 meV per atom.